(1)
## Y2InAg (GGA-PBE)

Data for crystalline Y2InAg at its relaxed geometry. Values from VASP.

Quantum ESPRESSO input file:
```
&SYSTEM
  ibrav = 0, nat = 8, ntyp = 3
/
ATOMIC_SPECIES
Y 88.91 Y.upf
In 114.82 In.upf
Ag 107.87 Ag.upf
ATOMIC_POSITIONS angstrom
Y 0.0000 2.7964 1.1505
Y 0.0000 2.7964 4.4781
Y 2.4217 1.3982 6.7792
Y 2.4217 1.3982 10.1067
In 0.0000 2.7964 8.4429
In 2.4217 1.3982 2.8143
Ag 0.0000 0.0000 0.0000
Ag 0.0000 0.0000 5.6286
CELL_PARAMETERS angstrom
4.8435 0.0000 0.0000
-2.4217 4.1946 0.0000
0.0000 0.0000 11.2573
```

(2)
## Y2ZrTe3 (GGA-PBE)

Data for crystalline Y2ZrTe3 at its relaxed geometry. Values from VASP.

Quantum ESPRESSO input file:
```
&SYSTEM
  ibrav = 0, nat = 12, ntyp = 3
/
ATOMIC_SPECIES
Y 88.91 Y.upf
Zr 91.22 Zr.upf
Te 127.60 Te.upf
ATOMIC_POSITIONS angstrom
Y 1.5633 0.0000 3.5970
Y 5.4696 0.0000 1.4276
Y 9.3111 0.0000 8.9405
Y 13.2174 0.0000 6.7712
Zr -0.6975 0.0000 6.3288
Zr 15.4782 0.0000 4.0394
Te 2.5127 0.0000 0.6590
Te 4.6137 0.0000 4.4370
Te 6.4879 0.0000 7.8472
Te 8.2928 0.0000 2.5210
Te 10.1670 0.0000 5.9311
Te 12.2680 0.0000 9.7092
CELL_PARAMETERS angstrom
8.7120 -2.0939 0.0000
8.7120 2.0939 0.0000
-2.6432 0.0000 10.3681
```

(3)
## HfInNO (GGA-PBE)

Data for crystalline HfInNO at its relaxed geometry. Values from VASP.

Quantum ESPRESSO input file:
```
&SYSTEM
  ibrav = 0, nat = 8, ntyp = 4
/
ATOMIC_SPECIES
Hf 178.49 Hf.upf
In 114.82 In.upf
N 14.01 N.upf
O 16.00 O.upf
ATOMIC_POSITIONS angstrom
Hf 0.0000 1.1766 0.0000
Hf 0.0000 5.9045 3.0877
In 1.6714 2.5228 3.4120
In 1.6714 4.5583 0.3243
N 1.6714 2.3362 5.9750
N 1.6714 4.7449 2.8873
O 0.0000 0.1623 1.6715
O 0.0000 6.9187 4.7592
CELL_PARAMETERS angstrom
3.3429 0.0000 0.0000
0.0000 7.0811 0.0000
0.0000 0.0000 6.1754
```

Calculated values
The calculation puts the relative energy among the computed polymorphs at 0.072 eV/atom.

(4)
## Ho2ErCoSn3Ir2 (GGA-PBE)

Data for crystalline Ho2ErCoSn3Ir2 at its relaxed geometry. Values from VASP.

Quantum ESPRESSO input file:
```
&SYSTEM
  ibrav = 0, nat = 9, ntyp = 5
/
ATOMIC_SPECIES
Ho 164.93 Ho.upf
Er 167.26 Er.upf
Co 58.93 Co.upf
Sn 118.71 Sn.upf
Ir 192.22 Ir.upf
ATOMIC_POSITIONS angstrom
Ho 0.0000 -3.8604 3.7617
Ho 0.0000 3.8604 3.7617
Er 0.0000 0.0000 2.9388
Co 0.0000 0.0000 5.9914
Sn 1.8828 0.0000 0.3788
Sn 1.8828 -1.6467 5.0400
Sn 1.8828 1.6467 5.0400
Ir 1.8828 -2.1604 2.2348
Ir 1.8828 2.1604 2.2348
CELL_PARAMETERS angstrom
3.7656 0.0000 0.0000
0.0000 6.5033 3.7617
0.0000 -6.5033 3.7617
```

Table of E_tot (eV/atom), in record order: -4.694; -6.167; -7.948; -6.369